Mg6Hg2Pt | PBE | optimized geometry

Values from the calculation:
Energy above the lowest structure with this stoichiometry in meV per atom: 0
ΔH_f (0 K) in meV per atom: -398
V in Å³/cell: 187.05

Lattice parameters (Å, degrees): 7.6793 7.6793 3.6625 90.00 90.00 120.00
Space group P-62m (No. 189)
Asymmetric unit:
Mg (0.0000, 0.3764, 0.0000)
Mg (0.0000, 0.7455, 0.5000)
Hg (0.3333, 0.6667, 0.5000)
Pt (0.0000, 0.0000, 0.0000)